Density functional theory data (GGA-PBE) for a geometry-optimized SiTe2PtI structure.

extended XYZ file:
```
5
Lattice="5.2926 0.0000 0.0000 0.0000 5.2926 0.0000 0.0000 0.0000 5.4548" Properties=species:S:1:pos:R:3 pbc="T T T"
Si 0.0000 0.0000 0.0000
Te 0.0000 2.6463 2.7274
Te 2.6463 0.0000 2.7274
Pt 2.6463 2.6463 2.7274
I 2.6463 2.6463 0.0000
```

Summary:
ΔE to the lowest computed polymorph   0 meV/atom
ρ   6.6 g/cm³
SG   P4/mmm, No. 123

---

Density functional theory data (GGA-PBE) for a geometry-optimized Tl2SiPtI structure.

extended XYZ file:
```
5
Lattice="5.8322 0.0000 0.0000 0.0000 5.8322 0.0000 0.0000 0.0000 4.5282" Properties=species:S:1:pos:R:3 pbc="T T T"
Tl 0.0000 2.9161 0.0000
Tl 2.9161 0.0000 0.0000
Si 0.0000 0.0000 0.0000
Pt 0.0000 0.0000 2.2641
I 2.9161 2.9161 2.2641
```

Summary:
ρ   8.2 g/cm³
SG   P4/mmm, No. 123

---

Density functional theory data (GGA-PBE) for a geometry-optimized ZnSiPt2I structure.

extended XYZ file:
```
5
Lattice="4.4485 0.0000 0.0000 0.0000 4.4485 0.0000 0.0000 0.0000 6.5255" Properties=species:S:1:pos:R:3 pbc="T T T"
Zn 0.0000 0.0000 0.0000
Si 2.2242 2.2242 3.2628
Pt 0.0000 2.2242 3.2628
Pt 2.2242 0.0000 3.2628
I 2.2242 2.2242 0.0000
```

Summary:
ρ   7.9 g/cm³
SG   P4/mmm, No. 123

---

Density functional theory data (GGA-PBE) for a geometry-optimized Sm2PtI3 structure.

extended XYZ file:
```
12
Lattice="9.3654 -2.1831 0.0000 9.3654 2.1831 0.0000 -6.4529 0.0000 10.7135" Properties=species:S:1:pos:R:3 pbc="T T T"
Sm -0.9395 0.0000 4.6652
Sm 5.4382 0.0000 2.1651
Sm 6.8397 0.0000 8.5484
Sm 13.2173 0.0000 6.0483
Pt -2.8441 0.0000 6.7494
Pt 15.1220 0.0000 3.9641
I 2.9322 0.0000 0.1458
I 2.6021 0.0000 4.0654
I 3.5461 0.0000 8.3152
I 8.7318 0.0000 2.3983
I 9.6757 0.0000 6.6481
I 9.3457 0.0000 10.5677
```

Summary:
ρ   6.6 g/cm³
SG   C2/m, No. 12

---

Density functional theory data (GGA-PBE) for a geometry-optimized Sm4Pt2I5 structure.

extended XYZ file:
```
11
Lattice="-2.0314 4.3633 14.3395 2.0314 -4.3633 14.3395 2.0314 4.3633 -14.3395" Properties=species:S:1:pos:R:3 pbc="T T T"
Sm 0.0000 0.0000 4.0716
Sm 2.0314 1.6824 0.0000
Sm 0.0000 2.6809 14.3395
Sm 0.0000 0.0000 24.6074
Pt 0.0000 0.0000 1.3535
Pt 0.0000 0.0000 27.3255
I 2.0314 2.1501 -4.9626
I 2.0314 2.1501 4.9626
I 0.0000 4.3633 0.0000
I 0.0000 2.2132 9.3769
I 0.0000 2.2132 19.3021
```

Summary:
ΔE to the lowest computed polymorph   0 meV/atom
ρ   5.3 g/cm³
SG   Immm, No. 71

---

Density functional theory data (GGA-PBE) for a geometry-optimized Sm7PtI12 structure.

extended XYZ file:
```
20
Lattice="8.0176 4.6290 3.6261 -8.0176 4.6290 3.6261 0.0000 -9.2580 3.6261" Properties=species:S:1:pos:R:3 pbc="T T T"
Sm 0.0000 0.0000 0.0000
Sm -2.2120 -0.6025 3.8303
Sm 1.6277 -1.6144 3.8303
Sm 0.5842 2.2168 3.8303
Sm -0.5842 -2.2168 7.0480
Sm -1.6277 1.6144 7.0480
Sm 2.2120 0.6025 7.0480
Pt 0.0000 0.0000 5.4391
I -0.6521 -2.5278 1.7422
I -1.8632 1.8286 1.7422
I -3.1543 -3.2098 5.3693
I -4.3569 1.1268 5.5090
I 2.5152 0.6992 1.7422
I 1.2027 -4.3366 5.5090
I -1.2026 4.3366 5.3693
I -2.5152 -0.6992 9.1361
I 4.3569 -1.1268 5.3693
I 3.1543 3.2098 5.5090
I 1.8632 -1.8286 9.1361
I 0.6520 2.5278 9.1361
```

Summary:
ρ   5.7 g/cm³
SG   R-3, No. 148

---

Density functional theory data (GGA-PBE) for a geometry-optimized Sm4Pt2I5 structure.

extended XYZ file:
```
11
Lattice="-2.0316 4.8194 9.7983 2.0316 -4.8194 9.7983 2.0316 4.8194 -9.7983" Properties=species:S:1:pos:R:3 pbc="T T T"
Sm 0.0000 0.0000 2.9358
Sm 2.0316 1.9898 0.0000
Sm 0.0000 2.8296 9.7983
Sm 0.0000 0.0000 16.6608
Pt 0.0000 0.0000 5.5764
Pt 0.0000 0.0000 14.0203
I 2.0316 2.4190 -3.0617
I 2.0316 2.4190 3.0617
I 0.0000 4.8194 0.0000
I 0.0000 2.4004 6.7366
I 0.0000 2.4004 12.8600
```

Summary:
ΔE to the lowest computed polymorph   595 meV/atom
ρ   7.0 g/cm³
SG   Immm, No. 71

---

Density functional theory data (GGA-PBE) for a geometry-optimized TbSmPtI structure.

extended XYZ file:
```
4
Lattice="2.0989 1.2118 8.0171 -2.0989 1.2118 8.0171 0.0000 -2.4236 8.0171" Properties=species:S:1:pos:R:3 pbc="T T T"
Tb 0.0000 0.0000 0.0000
Sm 0.0000 0.0000 18.9696
Pt 0.0000 0.0000 9.4470
I 0.0000 0.0000 13.5608
```

Summary:
ρ   8.6 g/cm³
SG   R3m, No. 160

---

Density functional theory data (GGA-PBE) for a geometry-optimized SmYPtI structure.

extended XYZ file:
```
4
Lattice="2.0962 1.2102 8.0026 -2.0962 1.2102 8.0026 0.0000 -2.4204 8.0026" Properties=species:S:1:pos:R:3 pbc="T T T"
Sm 0.0000 0.0000 0.0000
Y 0.0000 0.0000 5.0609
Pt 0.0000 0.0000 14.5037
I 0.0000 0.0000 18.6229
```

Summary:
ρ   7.7 g/cm³
SG   R3m, No. 160

---

Density functional theory data (GGA-PBE) for a geometry-optimized SnPtI structure.

extended XYZ file:
```
12
Lattice="6.8326 0.0000 0.0000 0.0000 6.8586 0.0000 -3.0323 0.0000 7.7675" Properties=species:S:1:pos:R:3 pbc="T T T"
Sn -0.3560 1.0862 1.1663
Sn -1.8722 2.3431 5.0500
Sn 5.6724 4.5155 2.7175
Sn 4.1562 5.7724 6.6012
Pt -0.6560 4.6691 5.3379
Pt 0.8602 5.6188 1.4542
Pt 2.9401 1.2398 6.3133
Pt 4.4562 2.1895 2.4296
I 0.4810 0.3970 5.3609
I 1.9972 3.0323 1.4771
I 1.8031 3.8263 6.2904
I 3.3192 6.4616 2.4066
```

Summary:
ρ   8.0 g/cm³
SG   P2_1/c, No. 14

---

Density functional theory data (GGA-PBE) for a geometry-optimized SnPtI2 structure.

extended XYZ file:
```
8
Lattice="-3.5473 3.5473 5.9127 3.5473 -3.5473 5.9127 3.5473 3.5473 -5.9127" Properties=species:S:1:pos:R:3 pbc="T T T"
Sn 0.0000 0.0000 0.0000
Sn 0.0000 3.5473 2.9564
Pt 3.5473 0.0000 2.9564
Pt 0.0000 0.0000 5.9127
I 1.7737 -1.3859 4.4345
I 2.1614 1.7737 1.4782
I 1.7737 4.9332 -1.4782
I 1.3859 1.7737 7.3909
```

Summary:
ΔE to the lowest computed polymorph   0 meV/atom
ρ   6.3 g/cm³
SG   I-42d, No. 122

---

Density functional theory data (GGA-PBE) for a geometry-optimized SnPt3I structure.

extended XYZ file:
```
5
Lattice="5.0233 0.0000 0.0000 0.0000 5.0233 0.0000 0.0000 0.0000 5.0233" Properties=species:S:1:pos:R:3 pbc="T T T"
Sn 0.0000 0.0000 0.0000
Pt 0.0000 2.5117 2.5117
Pt 2.5117 0.0000 2.5117
Pt 2.5117 2.5117 0.0000
I 2.5117 2.5117 2.5117
```

Summary:
ΔE to the lowest computed polymorph   0 meV/atom
ρ   10.9 g/cm³
SG   Pm-3m, No. 221

---

Density functional theory data (GGA-PBE) for a geometry-optimized SnPtI2 structure.

extended XYZ file:
```
4
Lattice="0.0000 3.7757 3.7757 3.7757 0.0000 3.7757 3.7757 3.7757 0.0000" Properties=species:S:1:pos:R:3 pbc="T T T"
Sn 0.0000 0.0000 0.0000
Pt 3.7757 3.7757 3.7757
I 1.8878 1.8878 1.8878
I 5.6635 5.6635 5.6635
```

Summary:
ΔE to the lowest computed polymorph   167 meV/atom
ρ   8.8 g/cm³
SG   Fm-3m, No. 225

---

Density functional theory data (GGA-PBE) for a geometry-optimized Sn2Pt2I structure.

extended XYZ file:
```
10
Lattice="7.8902 0.0000 0.0000 0.0000 7.8902 0.0000 0.0000 0.0000 3.6062" Properties=species:S:1:pos:R:3 pbc="T T T"
Sn 1.2038 2.7413 0.0000
Sn 2.7413 6.6864 0.0000
Sn 5.1489 1.2038 0.0000
Sn 6.6864 5.1489 0.0000
Pt 1.0271 4.9722 1.8031
Pt 2.9180 1.0271 1.8031
Pt 4.9722 6.8631 1.8031
Pt 6.8631 2.9180 1.8031
I 0.0000 0.0000 1.8031
I 3.9451 3.9451 1.8031
```

Summary:
ΔE to the lowest computed polymorph   147 meV/atom
ρ   11.2 g/cm³
SG   P4/mbm, No. 127

---

Density functional theory data (GGA-PBE) for a geometry-optimized Sn2Pt2I structure.

extended XYZ file:
```
5
Lattice="-1.9662 1.9662 8.4109 1.9662 -1.9662 8.4109 1.9662 1.9662 -8.4109" Properties=species:S:1:pos:R:3 pbc="T T T"
Sn 0.0000 0.0000 2.2534
Sn 0.0000 0.0000 14.5685
Pt 1.9662 0.0000 4.2055
Pt 0.0000 1.9662 4.2055
I 0.0000 0.0000 8.4109
```

Summary:
ΔE to the lowest computed polymorph   0 meV/atom
ρ   9.6 g/cm³
SG   I4/mmm, No. 139

---

Density functional theory data (GGA-PBE) for a geometry-optimized SnPt2I structure.

extended XYZ file:
```
4
Lattice="0.0000 3.4627 3.4627 3.4627 0.0000 3.4627 3.4627 3.4627 0.0000" Properties=species:S:1:pos:R:3 pbc="T T T"
Sn 0.0000 0.0000 0.0000
Pt 1.7314 1.7314 1.7314
Pt 5.1941 5.1941 5.1941
I 3.4627 3.4627 3.4627
```

Summary:
ΔE to the lowest computed polymorph   142 meV/atom
ρ   12.7 g/cm³
SG   Fm-3m, No. 225

---

Density functional theory data (GGA-PBE) for a geometry-optimized SnPt2I structure.

extended XYZ file:
```
8
Lattice="-3.3581 3.3581 4.7719 3.3581 -3.3581 4.7719 3.3581 3.3581 -4.7719" Properties=species:S:1:pos:R:3 pbc="T T T"
Sn 0.0000 0.0000 0.0000
Sn 0.0000 3.3581 2.3860
Pt 5.0372 1.6178 -1.1930
Pt 1.6178 1.6791 1.1930
Pt -1.6791 1.7403 3.5789
Pt 1.7403 1.6791 5.9649
I 3.3581 0.0000 2.3860
I 0.0000 0.0000 4.7719
```

Summary:
ΔE to the lowest computed polymorph   0 meV/atom
ρ   9.8 g/cm³
SG   I-42d, No. 122

---

Density functional theory data (GGA-PBE) for a geometry-optimized Sn2Pt2I structure.

extended XYZ file:
```
5
Lattice="-2.3371 2.3371 5.6576 2.3371 -2.3371 5.6576 2.3371 2.3371 -5.6576" Properties=species:S:1:pos:R:3 pbc="T T T"
Sn 2.3371 0.0000 2.8288
Sn 0.0000 2.3371 2.8288
Pt 0.0000 0.0000 1.3934
Pt 0.0000 0.0000 9.9218
I 0.0000 0.0000 5.6576
```

Summary:
ΔE to the lowest computed polymorph   132 meV/atom
ρ   10.1 g/cm³
SG   I4/mmm, No. 139

---

Density functional theory data (GGA-PBE) for a geometry-optimized SnPtI2 structure.

extended XYZ file:
```
4
Lattice="2.4489 1.4139 8.2419 -2.4489 1.4139 8.2419 0.0000 -2.8278 8.2419" Properties=species:S:1:pos:R:3 pbc="T T T"
Sn 0.0000 0.0000 0.0000
Pt 0.0000 0.0000 12.3628
I 0.0000 0.0000 9.8768
I 0.0000 0.0000 14.8489
```

Summary:
ΔE to the lowest computed polymorph   12 meV/atom
ρ   5.5 g/cm³
SG   R-3m, No. 166

---

Density functional theory data (GGA-PBE) for a geometry-optimized SnPtI3 structure.

extended XYZ file:
```
5
Lattice="5.4892 0.0000 0.0000 0.0000 5.4892 0.0000 0.0000 0.0000 5.4892" Properties=species:S:1:pos:R:3 pbc="T T T"
Sn 0.0000 0.0000 0.0000
Pt 2.7446 2.7446 2.7446
I 0.0000 2.7446 2.7446
I 2.7446 0.0000 2.7446
I 2.7446 2.7446 0.0000
```

Summary:
ΔE to the lowest computed polymorph   0 meV/atom
ρ   7.0 g/cm³
SG   Pm-3m, No. 221

---

Density functional theory data (GGA-PBE) for a geometry-optimized SnTePtI2 structure.

extended XYZ file:
```
5
Lattice="5.4518 0.0000 0.0000 0.0000 5.4518 0.0000 0.0000 0.0000 5.4178" Properties=species:S:1:pos:R:3 pbc="T T T"
Sn 0.0000 0.0000 0.0000
Te 2.7259 2.7259 0.0000
Pt 2.7259 2.7259 2.7089
I 0.0000 2.7259 2.7089
I 2.7259 0.0000 2.7089
```

Summary:
ΔE to the lowest computed polymorph   0 meV/atom
ρ   7.2 g/cm³
SG   P4/mmm, No. 123

---

Density functional theory data (GGA-PBE) for a geometry-optimized SnTe2PtI structure.

extended XYZ file:
```
5
Lattice="5.3398 0.0000 0.0000 0.0000 5.3398 0.0000 0.0000 0.0000 5.5015" Properties=species:S:1:pos:R:3 pbc="T T T"
Sn 0.0000 0.0000 0.0000
Te 0.0000 2.6699 2.7507
Te 2.6699 0.0000 2.7507
Pt 2.6699 2.6699 2.7507
I 2.6699 2.6699 0.0000
```

Summary:
ΔE to the lowest computed polymorph   0 meV/atom
ρ   7.4 g/cm³
SG   P4/mmm, No. 123

---

Density functional theory data (GGA-PBE) for a geometry-optimized VSn2PtI structure.

extended XYZ file:
```
5
Lattice="5.8578 0.0000 0.0000 0.0000 5.8578 0.0000 0.0000 0.0000 4.9618" Properties=species:S:1:pos:R:3 pbc="T T T"
V 0.0000 0.0000 0.0000
Sn 0.0000 2.9289 2.4809
Sn 2.9289 0.0000 2.4809
Pt 2.9289 2.9289 0.0000
I 2.9289 2.9289 2.4809
```

Summary:
ρ   6.0 g/cm³
SG   P4/mmm, No. 123

---

Density functional theory data (GGA-PBE) for a geometry-optimized Zn2SnPtI structure.

extended XYZ file:
```
5
Lattice="5.0208 0.0000 0.0000 0.0000 5.0208 0.0000 0.0000 0.0000 5.9571" Properties=species:S:1:pos:R:3 pbc="T T T"
Zn 0.0000 2.5104 0.0000
Zn 2.5104 0.0000 0.0000
Sn 0.0000 0.0000 0.0000
Pt 2.5104 2.5104 2.9786
I 0.0000 0.0000 2.9786
```

Summary:
ρ   6.3 g/cm³
SG   P4/mmm, No. 123

---

Density functional theory data (GGA-PBE) for a geometry-optimized Sr2Pt2I structure.

extended XYZ file:
```
10
Lattice="8.2695 0.0000 0.0000 0.0000 8.2695 0.0000 0.0000 0.0000 4.0230" Properties=species:S:1:pos:R:3 pbc="T T T"
Sr 1.4523 2.6824 0.0000
Sr 2.6824 6.8171 0.0000
Sr 5.5870 1.4523 0.0000
Sr 6.8171 5.5870 0.0000
Pt 0.9485 5.0832 2.0115
Pt 3.1863 0.9485 2.0115
Pt 5.0832 7.3210 2.0115
Pt 7.3210 3.1863 2.0115
I 0.0000 0.0000 2.0115
I 4.1347 4.1347 2.0115
```

Summary:
ρ   8.4 g/cm³
SG   P4/mbm, No. 127

---

Density functional theory data (GGA-PBE) for a geometry-optimized Sr2PtI structure.

extended XYZ file:
```
4
Lattice="2.2214 1.2826 8.2423 -2.2214 1.2826 8.2423 0.0000 -2.5651 8.2423" Properties=species:S:1:pos:R:3 pbc="T T T"
Sr 0.0000 0.0000 5.7458
Sr 0.0000 0.0000 18.9812
Pt 0.0000 0.0000 12.3635
I 0.0000 0.0000 0.0000
```

Summary:
ΔE to the lowest computed polymorph   0 meV/atom
ρ   5.9 g/cm³
SG   R-3m, No. 166

---

Quick rundown of formation energy from raw total energies, same order as above: 0.626; -0.007; 0.364; -1.212; -1.090; -1.306; -0.496; -1.116; -1.104; -0.276; 0.245; 0.879; 0.412; -0.126; -0.273; 0.275; 0.133; -0.141; 0.257; 0.076; 0.114; 0.157; 1.363; 0.856; -0.770; -1.101 eV per atom